First-principles (GGA-PBE) data for a relaxed BaTlZn3 crystal, as listed in Alexandria.

DFT total energy (eV per atom): -1.44
Density of states at the Fermi level (states/eV/cell): 3.9
Energy of formation from the pure elements (eV/atom): 0.18

Lattice parameters (Å, degrees): 5.3865 5.3865 5.3865 90.00 90.00 90.00
Atoms (fractional coordinates):
Zn 0.0000 0.5000 0.0000
Zn 0.0000 0.0000 0.5000
Zn 0.5000 0.0000 0.0000
Tl 0.0000 0.0000 0.0000
Ba 0.5000 0.5000 0.5000